Computed, not measured: an optimized crystal structure of MnIrIO6 at the PBE+U level of DFT.

Unit cell a=5.3061 b=5.3061 c=9.1986 alpha=90.00 beta=90.00 gamma=120.00
Last column: nearest neighbours and their distance in Å.
Sites, in units of the cell vectors:
Mn1 0.0000 0.0000 0.0000  6 O 2.25
Mn2 0.0000 0.0000 0.5000  6 O 2.25
Ir1 0.3333 0.6667 0.2500  6 O 2.01
Ir2 0.6667 0.3333 0.7500  6 O 2.01
I1 0.3333 0.6667 0.7500  6 O 2.02
I2 0.6667 0.3333 0.2500  6 O 2.02
O1 0.0010 0.3538 0.1351  1 Ir 2.01, 1 I 2.02, 1 Mn 2.25
O2 0.0010 0.6472 0.3649  1 Ir 2.01, 1 I 2.02, 1 Mn 2.25
O3 0.3528 0.3538 0.3649  1 Ir 2.01, 1 I 2.02, 1 Mn 2.25
O4 0.3528 0.9990 0.1351  1 Ir 2.01, 1 I 2.02, 1 Mn 2.25
O5 0.3538 0.0010 0.6351  1 Ir 2.01, 1 I 2.02, 1 Mn 2.25
O6 0.3538 0.3528 0.8649  1 Ir 2.01, 1 I 2.02, 1 Mn 2.25
O7 0.6462 0.6472 0.1351  1 Ir 2.01, 1 I 2.02, 1 Mn 2.25
O8 0.6462 0.9990 0.3649  1 Ir 2.01, 1 I 2.02, 1 Mn 2.25
O9 0.6472 0.0010 0.8649  1 Ir 2.01, 1 I 2.02, 1 Mn 2.25
O10 0.6472 0.6462 0.6351  1 Ir 2.01, 1 I 2.02, 1 Mn 2.25
O11 0.9990 0.3528 0.6351  1 Ir 2.01, 1 I 2.02, 1 Mn 2.25
O12 0.9990 0.6462 0.8649  1 Ir 2.01, 1 I 2.02, 1 Mn 2.25

Values from the calculation:
Space group: P-31c
Electronic total energy in eV per formula unit: -54.20